# LaZnB5O10 | Alexandria | PBE | relaxed
# DOS at the Fermi energy: 0.000 states/eV/atom
# Energy relative to the elements, uncorrected: -2.524 eV/atom
# DFT total energy: -7.769 eV per atom
# V: 9.63 A^3/atom
# ρ: 4.2 g cm⁻³
data_LaZnB5O10
_chemical_formula_sum 'La4 Zn4 B20 O40'
_cell_length_a 8.870
_cell_length_b 7.697
_cell_length_c 12.791
_cell_angle_alpha 90.00
_cell_angle_beta 131.45
_cell_angle_gamma 90.00
_symmetry_space_group_name_H-M 'P 1 21/c 1'
_symmetry_Int_Tables_number 14
loop_
_symmetry_equiv_pos_as_xyz
'x,y,z'
'-x,-y,-z'
'-x,y+1/2,-z+1/2'
'x,-y+1/2,z+1/2'
loop_
_atom_site_label
_atom_site_fract_x
_atom_site_fract_y
_atom_site_fract_z
La1 0.053 0.184 0.236
Zn1 0.488 0.588 0.878
B1 0.095 0.674 0.609
B2 0.156 0.596 0.004
B3 0.270 0.033 0.053
B4 0.353 0.581 0.265
B5 0.488 0.184 0.915
O1 0.030 0.723 0.989
O2 0.085 0.107 0.917
O3 0.118 0.543 0.888
O4 0.211 0.716 0.237
O5 0.230 0.525 0.644
O6 0.318 0.536 0.135
O7 0.319 0.624 0.509
O8 0.326 0.083 0.811
O9 0.437 0.155 0.433
O10 0.443 0.152 0.130

***

# SrSb2SeI | Alexandria | PBE | relaxed
# DOS at the Fermi energy: 1.225 states/eV/atom
# Energy relative to the elements, uncorrected: -0.111 eV/atom
# DFT total energy: -3.103 eV per atom
# V: 35.53 A^3/atom
# ρ: 5.0 g cm⁻³
# Energy above the most stable polymorph in this dataset: 0.000 eV per atom
data_SrSb2SeI
_chemical_formula_sum 'Sr1 Sb2 Se1 I1'
_cell_length_a 5.476
_cell_length_b 5.476
_cell_length_c 5.925
_cell_angle_alpha 90.00
_cell_angle_beta 90.00
_cell_angle_gamma 90.00
_symmetry_space_group_name_H-M 'P 4/m m m'
_symmetry_Int_Tables_number 123
_symmetry_space_group_name_Hall '-P 4 2'
loop_
_atom_site_label
_atom_site_fract_x
_atom_site_fract_y
_atom_site_fract_z
Sr1 0.000 0.000 0.000
Sb1 0.000 0.500 0.500
Se1 0.500 0.500 0.500
I1 0.500 0.500 0.000

***

# PaCdPt2 | Alexandria | PBE | relaxed
# DOS at the Fermi energy: 0.747 states/eV/atom
# Energy relative to the elements: -0.704 eV/atom
# DFT total energy: -6.327 eV per atom
# V: 20.03 A^3/atom
# ρ: 15.2 g cm⁻³
data_PaCdPt2
_chemical_formula_sum 'Pa1 Cd1 Pt2'
_cell_length_a 3.388
_cell_length_b 3.388
_cell_length_c 6.978
_cell_angle_alpha 90.00
_cell_angle_beta 90.00
_cell_angle_gamma 90.00
_symmetry_space_group_name_H-M 'P 4/m m m'
_symmetry_Int_Tables_number 123
_symmetry_space_group_name_Hall '-P 4 2'
loop_
_atom_site_label
_atom_site_fract_x
_atom_site_fract_y
_atom_site_fract_z
Pa1 0.000 0.000 0.000
Cd1 0.000 0.000 0.500
Pt1 0.500 0.500 0.251

***

# K2NaLiPb | Alexandria | PBE | relaxed
# DOS at the Fermi energy: 0.577 states/eV/atom
# Energy relative to the elements: 0.036 eV/atom
# DFT total energy: -1.791 eV per atom
# V: 42.12 A^3/atom
# ρ: 2.5 g cm⁻³
data_K2NaLiPb
_chemical_formula_sum 'K2 Na1 Li1 Pb1'
_cell_length_a 6.321
_cell_length_b 6.321
_cell_length_c 5.271
_cell_angle_alpha 90.00
_cell_angle_beta 90.00
_cell_angle_gamma 90.00
_symmetry_space_group_name_H-M 'P 4/m m m'
_symmetry_Int_Tables_number 123
_symmetry_space_group_name_Hall '-P 4 2'
loop_
_atom_site_label
_atom_site_fract_x
_atom_site_fract_y
_atom_site_fract_z
K1 0.000 0.500 0.000
Na1 0.000 0.000 0.500
Li1 0.500 0.500 0.000
Pb1 0.500 0.500 0.500